(1)
This record from Alexandria via LeMat-Bulk describes a relaxed CuTeH crystal. The functional is PBE.

Properties
Polymorph energy (0 for the lowest one) = 211 meV/atom
Magnetization = 0.00 μB per formula unit

a b c (Å): 3.134 3.930 3.967
angles (deg): 90.00 90.00 90.00
Space group Pmm2 (No. 25)
One atom of each set of equivalent atoms:
Cu1 0.000 0.000 0.000 [1 per cell]
Te1 0.000 0.500 0.500 [1 per cell]
H1 0.500 0.000 0.997 [1 per cell]


(2)
This record from Alexandria via LeMat-Bulk describes a relaxed CuTe2H2 crystal. The functional is PBE.

Properties
Magnetization = 0.00 μB per formula unit
Raw total energy = -16.05 eV/f.u.

a b c (Å): 6.060 8.976 8.737
angles (deg): 90.00 100.80 90.00
Space group C2/m (No. 12)
One atom of each set of equivalent atoms:
Cu1 0.000 0.141 0.000 [4 per cell]
Te1 0.145 0.280 0.255 [8 per cell]
H1 0.084 0.000 0.110 [4 per cell]
H2 0.135 0.500 0.225 [4 per cell]


(3)
This record from Alexandria via LeMat-Bulk describes a relaxed CuTeH crystal. The functional is PBE.

Properties
Polymorph energy (0 for the lowest one) = 152 meV/atom
Magnetization = 0.00 μB per formula unit

a b c (Å): 4.379 4.872 5.142
angles (deg): 92.95 90.17 90.00
Space group P-1 (No. 2)
One atom of each set of equivalent atoms:
Cu1 0.250 0.098 0.424 [2 per cell]
Te1 0.251 0.742 0.803 [2 per cell]
H1 0.250 0.420 0.619 [2 per cell]


(4)
This record from Alexandria via LeMat-Bulk describes a relaxed CuTe2H crystal. The functional is PBE.

Properties
Polymorph energy (0 for the lowest one) = 58 meV/atom
Magnetization = 0.00 μB per formula unit

a b c (Å): 4.0604 4.0604 19.9667
angles (deg): 90.00 90.00 120.00
Space group R-3m (No. 166, hexagonal axes)
One atom of each set of equivalent atoms:
Cu1 0.0000 0.0000 0.0000 [3 per cell]
Te1 0.0000 0.0000 0.4012 [6 per cell]
H1 0.0000 0.0000 0.5000 [3 per cell]


(5)
This record from Alexandria via LeMat-Bulk describes a relaxed TlCuTe2H crystal. The functional is PBE.

Properties
Magnetization = 0.00 μB per formula unit
Raw total energy = -13.28 eV/f.u.

a b c (Å): 5.935 5.935 3.581
angles (deg): 90.00 90.00 90.00
Space group P4/mmm (No. 123)
One atom of each set of equivalent atoms:
Tl1 0.000 0.000 0.000 [1 per cell]
Cu1 0.500 0.500 0.500 [1 per cell]
Te1 0.000 0.500 0.000 [2 per cell]
H1 0.000 0.000 0.500 [1 per cell]


(6)
This record from Alexandria via LeMat-Bulk describes a relaxed Tl2CuTe2H crystal. The functional is PBE.

Properties
Magnetization = 0.00 μB per formula unit
Raw total energy = -17.78 eV/f.u.

a b c (Å): 6.564 14.400 6.395
angles (deg): 90.00 90.00 90.00
Space group Ibam (No. 72)
One atom of each set of equivalent atoms:
Tl1 0.227 0.165 0.000 [8 per cell]
Cu1 0.000 0.000 0.250 [4 per cell]
Te1 0.226 0.415 0.000 [8 per cell]
H1 0.000 0.500 0.250 [4 per cell]


(7)
This record from Alexandria via LeMat-Bulk describes a relaxed Th12Cu3H5 crystal. The functional is PBE.

Properties
Magnetization = 0.00 μB per formula unit
Raw total energy = -118.05 eV/f.u.

a b c (Å): 15.485 15.485 15.485
angles (deg): 90.00 90.00 90.00
Space group Ia-3d (No. 230)
One atom of each set of equivalent atoms:
Th1 0.036 0.060 0.651 [96 per cell]
Cu1 0.000 0.250 0.125 [24 per cell]
H1 0.000 0.000 0.000 [16 per cell]
H2 0.000 0.250 0.375 [24 per cell]


(8)
This record from Alexandria via LeMat-Bulk describes a relaxed ThCuH3 crystal. The functional is PBE.

Properties
Magnetization = 0.00 μB per formula unit
Raw total energy = -22.28 eV/f.u.

a b c (Å): 5.2598 5.2598 6.4050
angles (deg): 90.00 90.00 120.00
Space group R-3m (No. 166, hexagonal axes)
One atom of each set of equivalent atoms:
Th1 0.0000 0.0000 0.0000 [3 per cell]
Cu1 0.0000 0.0000 0.5000 [3 per cell]
H1 0.0000 0.5000 0.0000 [9 per cell]